(A)
Compound: TmTa2B6
Source: Alexandria
Functional: PBE
Structure: relaxed Values from VASP.

Quantum ESPRESSO input file:
```
&SYSTEM
  ibrav = 0, nat = 9, ntyp = 3
/
ATOMIC_SPECIES
Ta 180.95 Ta.upf
B 10.81 B.upf
Tm 168.93 Tm.upf
CELL_PARAMETERS angstrom
-0.970 2.398 2.272
-3.378 2.130 -3.690
-1.754 -3.896 3.363
ATOMIC_POSITIONS crystal
Ta 0.000 0.667 0.333
B 0.500 0.338 0.000
B 0.500 0.000 0.662
Tm 0.000 0.000 0.000
B 0.500 0.000 0.338
B 0.500 0.662 0.662
B 0.500 0.338 0.338
B 0.500 0.662 0.000
Ta 0.000 0.333 0.667
```

Values from the calculation:
Symmetry ... P6/mmm, No. 191
Total magnetization ... 0.00 μB per formula unit
Density ... 11.221 Mg/m³
DOS(E_F) ... 0.181 states/eV/atom



(B)
Compound: TmTa2B6
Source: Alexandria
Functional: PBE
Structure: relaxed Values from VASP.

Quantum ESPRESSO input file:
```
&SYSTEM
  ibrav = 0, nat = 9, ntyp = 3
/
ATOMIC_SPECIES
B 10.81 B.upf
Ta 180.95 Ta.upf
Tm 168.93 Tm.upf
CELL_PARAMETERS angstrom
-2.557 -1.925 -0.154
-1.058 -1.698 5.455
-4.562 3.273 1.494
ATOMIC_POSITIONS crystal
B 0.196 0.568 0.040
Ta 0.662 0.838 0.838
B 0.804 0.960 0.432
Tm 0.500 0.500 0.500
B 0.000 0.153 0.847
B 0.804 0.432 0.960
B 0.196 0.040 0.568
B 0.000 0.847 0.153
Ta 0.338 0.162 0.162
```

Values from the calculation:
Symmetry ... Immm, No. 71
Total magnetization ... 0.00 μB per formula unit
Density ... 10.019 Mg/m³
DOS(E_F) ... 0.258 states/eV/atom



Relative stability in meV/atom, measured from the most stable structure: (A) 0; (B) 200



(A)
Compound: TaVB2
Source: Alexandria
Functional: PBE
Structure: relaxed Values from VASP.

Quantum ESPRESSO input file:
```
&SYSTEM
  ibrav = 0, nat = 4, ntyp = 3
/
ATOMIC_SPECIES
V 50.94 V.upf
B 10.81 B.upf
Ta 180.95 Ta.upf
CELL_PARAMETERS angstrom
3.162 0.000 0.000
1.581 2.739 0.000
1.581 0.913 5.095
ATOMIC_POSITIONS crystal
V 0.000 0.000 0.000
B 0.744 0.744 0.769
Ta 0.500 0.500 0.500
B 0.256 0.256 0.231
```

Values from the calculation:
Symmetry ... R-3m, No. 166
Total magnetization ... 0.00 μB per formula unit
Density ... 9.540 Mg/m³
DOS(E_F) ... 0.192 states/eV/atom



(B)
Compound: TaVB2
Source: Alexandria
Functional: PBE
Structure: relaxed Values from VASP.

Quantum ESPRESSO input file:
```
&SYSTEM
  ibrav = 0, nat = 4, ntyp = 3
/
ATOMIC_SPECIES
V 50.94 V.upf
B 10.81 B.upf
Ta 180.95 Ta.upf
CELL_PARAMETERS angstrom
-2.532 0.065 1.939
1.730 -1.077 2.296
2.228 3.908 0.155
ATOMIC_POSITIONS crystal
V 0.725 0.000 0.988
B 0.028 0.000 0.594
Ta 0.433 0.500 0.405
B 0.146 0.500 0.830
```

Values from the calculation:
Symmetry ... Amm2, No. 38
Total magnetization ... 0.00 μB per formula unit
Density ... 10.211 Mg/m³
DOS(E_F) ... 0.278 states/eV/atom



(C)
Compound: TaVB2
Source: Alexandria
Functional: PBE
Structure: relaxed Values from VASP.

Quantum ESPRESSO input file:
```
&SYSTEM
  ibrav = 0, nat = 16, ntyp = 3
/
ATOMIC_SPECIES
B 10.81 B.upf
V 50.94 V.upf
Ta 180.95 Ta.upf
CELL_PARAMETERS angstrom
-2.947 -0.881 -0.627
1.870 -4.774 -2.084
-0.660 -4.161 8.941
ATOMIC_POSITIONS crystal
B 0.250 0.536 0.175
B 0.250 0.214 0.181
B 0.250 0.036 0.325
B 0.750 0.964 0.675
V 0.750 0.863 0.447
Ta 0.750 0.881 0.154
B 0.250 0.714 0.319
Ta 0.250 0.119 0.846
B 0.750 0.786 0.819
Ta 0.750 0.381 0.346
B 0.750 0.464 0.825
Ta 0.250 0.619 0.654
V 0.250 0.137 0.553
V 0.750 0.363 0.053
V 0.250 0.637 0.947
B 0.750 0.286 0.681
```

Values from the calculation:
Symmetry ... Pnma, No. 62
Total magnetization ... 0.00 μB per formula unit
Density ... 9.806 Mg/m³
DOS(E_F) ... 0.490 states/eV/atom



Relative stability in meV/atom, measured from the most stable structure: (A) 298; (B) 0; (C) 310



(A)
Compound: TaV2B2
Source: Alexandria
Functional: PBE
Structure: relaxed Values from VASP.

Quantum ESPRESSO input file:
```
&SYSTEM
  ibrav = 0, nat = 10, ntyp = 3
/
ATOMIC_SPECIES
Ta 180.95 Ta.upf
V 50.94 V.upf
B 10.81 B.upf
CELL_PARAMETERS angstrom
-3.026 0.310 -0.630
2.308 -2.138 -4.479
-1.161 -6.365 2.441
ATOMIC_POSITIONS crystal
Ta 0.574 0.148 0.835
V 0.870 0.740 0.700
B 0.789 0.577 0.171
V 0.297 0.593 0.953
V 0.130 0.260 0.200
B 0.211 0.423 0.671
V 0.703 0.407 0.453
B 0.063 0.126 0.546
Ta 0.426 0.852 0.335
B 0.937 0.874 0.046
```

Values from the calculation:
Symmetry ... Cmc2_1, No. 36
Total magnetization ... 0.00 μB per formula unit
Density ... 8.968 Mg/m³
DOS(E_F) ... 0.856 states/eV/atom



(B)
Compound: TaV2B2
Source: Alexandria
Functional: PBE
Structure: relaxed Values from VASP.

Quantum ESPRESSO input file:
```
&SYSTEM
  ibrav = 0, nat = 10, ntyp = 3
/
ATOMIC_SPECIES
V 50.94 V.upf
B 10.81 B.upf
Ta 180.95 Ta.upf
CELL_PARAMETERS angstrom
5.948 0.000 0.000
0.000 5.948 0.000
0.000 0.000 3.094
ATOMIC_POSITIONS crystal
V 0.174 0.674 0.500
V 0.326 0.174 0.500
B 0.607 0.107 0.000
Ta 0.500 0.500 0.000
B 0.393 0.893 0.000
B 0.893 0.607 0.000
B 0.107 0.393 0.000
V 0.826 0.326 0.500
Ta 0.000 0.000 0.000
V 0.674 0.826 0.500
```

Values from the calculation:
Symmetry ... P4/mbm, No. 127
Total magnetization ... 0.00 μB per formula unit
Density ... 9.238 Mg/m³
DOS(E_F) ... 0.339 states/eV/atom



(C)
Compound: TaV2B2
Source: Alexandria
Functional: PBE
Structure: relaxed Values from VASP.

Quantum ESPRESSO input file:
```
&SYSTEM
  ibrav = 0, nat = 10, ntyp = 3
/
ATOMIC_SPECIES
V 50.94 V.upf
Ta 180.95 Ta.upf
B 10.81 B.upf
CELL_PARAMETERS angstrom
3.149 0.000 0.000
0.000 4.242 -0.256
0.000 -1.653 8.771
ATOMIC_POSITIONS crystal
V 0.750 0.731 0.485
V 0.750 0.169 0.100
Ta 0.750 0.256 0.769
Ta 0.250 0.744 0.231
V 0.250 0.269 0.515
B 0.750 0.617 0.020
B 0.750 0.131 0.350
B 0.250 0.869 0.650
V 0.250 0.831 0.900
B 0.250 0.383 0.980
```

Values from the calculation:
Symmetry ... P2_1/m, No. 11
Total magnetization ... 0.00 μB per formula unit
Density ... 8.730 Mg/m³
DOS(E_F) ... 0.516 states/eV/atom



Relative stability in meV/atom, measured from the most stable structure: (A) 208; (B) 0; (C) 239



(A)
Compound: Ta3VB
Source: Alexandria
Functional: PBE
Structure: relaxed Values from VASP.

Quantum ESPRESSO input file:
```
&SYSTEM
  ibrav = 0, nat = 5, ntyp = 3
/
ATOMIC_SPECIES
Ta 180.95 Ta.upf
B 10.81 B.upf
V 50.94 V.upf
CELL_PARAMETERS angstrom
-2.888 1.152 -3.341
-3.489 -0.249 2.931
0.558 4.409 1.038
ATOMIC_POSITIONS crystal
Ta 0.500 0.000 0.000
Ta 0.000 0.500 0.000
B 0.500 0.500 0.500
Ta 0.000 0.000 0.500
V 0.000 0.000 0.000
```

Values from the calculation:
Symmetry ... Pm-3m, No. 221
Total magnetization ... 0.00 μB per formula unit
Density ... 10.563 Mg/m³
DOS(E_F) ... 1.164 states/eV/atom



(B)
Compound: Ta3VB
Source: Alexandria
Functional: PBE
Structure: relaxed Values from VASP.

Quantum ESPRESSO input file:
```
&SYSTEM
  ibrav = 0, nat = 5, ntyp = 3
/
ATOMIC_SPECIES
Ta 180.95 Ta.upf
V 50.94 V.upf
B 10.81 B.upf
CELL_PARAMETERS angstrom
4.342 0.000 0.000
0.000 4.342 0.000
0.000 0.000 4.342
ATOMIC_POSITIONS crystal
Ta 0.500 0.000 0.000
V 0.500 0.500 0.500
B 0.000 0.000 0.000
Ta 0.000 0.000 0.500
Ta 0.000 0.500 0.000
```

Values from the calculation:
Symmetry ... Pm-3m, No. 221
Total magnetization ... 0.00 μB per formula unit
Density ... 12.265 Mg/m³
DOS(E_F) ... 0.729 states/eV/atom



Relative stability in meV/atom, measured from the most stable structure: (A) 1793; (B) 0



(A)
Compound: TaV3B
Source: Alexandria
Functional: PBE
Structure: relaxed Values from VASP.

Quantum ESPRESSO input file:
```
&SYSTEM
  ibrav = 0, nat = 5, ntyp = 3
/
ATOMIC_SPECIES
B 10.81 B.upf
V 50.94 V.upf
Ta 180.95 Ta.upf
CELL_PARAMETERS angstrom
-3.312 3.042 0.656
-1.460 -0.673 -4.250
-2.748 -3.308 1.468
ATOMIC_POSITIONS crystal
B 0.500 0.500 0.500
V 0.500 0.000 0.000
V 0.000 0.000 0.500
Ta 0.000 0.000 0.000
V 0.000 0.500 0.000
```

Values from the calculation:
Symmetry ... Pm-3m, No. 221
Total magnetization ... 0.00 μB per formula unit
Density ... 6.097 Mg/m³
DOS(E_F) ... 1.527 states/eV/atom



(B)
Compound: TaV3B
Source: Alexandria
Functional: PBE
Structure: relaxed Values from VASP.

Quantum ESPRESSO input file:
```
&SYSTEM
  ibrav = 0, nat = 5, ntyp = 3
/
ATOMIC_SPECIES
V 50.94 V.upf
Ta 180.95 Ta.upf
B 10.81 B.upf
CELL_PARAMETERS angstrom
-2.914 -0.339 -2.855
-1.072 -3.644 1.526
-2.668 1.834 2.505
ATOMIC_POSITIONS crystal
V 0.500 0.000 0.000
V 0.000 0.000 0.500
V 0.000 0.500 0.000
Ta 0.500 0.500 0.500
B 0.000 0.000 0.000
```

Values from the calculation:
Symmetry ... Pm-3m, No. 221
Total magnetization ... 0.00 μB per formula unit
Density ... 8.340 Mg/m³
DOS(E_F) ... 0.877 states/eV/atom



Relative stability in meV/atom, measured from the most stable structure: (A) 2269; (B) 0



(A)
Compound: TaB3W
Source: Alexandria
Functional: PBE
Structure: relaxed Values from VASP.

Quantum ESPRESSO input file:
```
&SYSTEM
  ibrav = 0, nat = 5, ntyp = 3
/
ATOMIC_SPECIES
B 10.81 B.upf
W 183.84 W.upf
Ta 180.95 Ta.upf
CELL_PARAMETERS angstrom
-3.982 -0.158 0.797
-0.686 -1.483 -3.721
0.436 -3.780 1.426
ATOMIC_POSITIONS crystal
B 0.500 0.000 0.000
B 0.000 0.000 0.500
B 0.000 0.500 0.000
W 0.500 0.500 0.500
Ta 0.000 0.000 0.000
```

Values from the calculation:
Symmetry ... Pm-3m, No. 221
Total magnetization ... 0.00 μB per formula unit
Density ... 9.829 Mg/m³
DOS(E_F) ... 1.089 states/eV/atom



(B)
Compound: TaB3W
Source: Alexandria
Functional: PBE
Structure: relaxed Values from VASP.

Quantum ESPRESSO input file:
```
&SYSTEM
  ibrav = 0, nat = 10, ntyp = 3
/
ATOMIC_SPECIES
B 10.81 B.upf
W 183.84 W.upf
Ta 180.95 Ta.upf
CELL_PARAMETERS angstrom
3.110 0.000 0.000
0.000 3.289 0.000
0.000 -1.644 9.639
ATOMIC_POSITIONS crystal
B 0.250 0.386 0.771
W 0.250 0.070 0.140
Ta 0.750 0.201 0.403
B 0.250 0.666 0.332
B 0.750 0.334 0.668
W 0.750 0.930 0.860
B 0.250 0.478 0.955
B 0.750 0.522 0.045
B 0.750 0.614 0.229
Ta 0.250 0.799 0.597
```

Values from the calculation:
Symmetry ... Cmcm, No. 63
Total magnetization ... 0.00 μB per formula unit
Density ... 13.381 Mg/m³
DOS(E_F) ... 0.337 states/eV/atom



(C)
Compound: TaB3W
Source: Alexandria
Functional: PBE
Structure: relaxed Values from VASP.

Quantum ESPRESSO input file:
```
&SYSTEM
  ibrav = 0, nat = 5, ntyp = 3
/
ATOMIC_SPECIES
B 10.81 B.upf
Ta 180.95 Ta.upf
W 183.84 W.upf
CELL_PARAMETERS angstrom
-1.641 3.541 1.027
-3.681 -1.636 -0.243
0.204 -1.036 3.895
ATOMIC_POSITIONS crystal
B 0.000 0.000 0.500
Ta 0.500 0.500 0.500
B 0.000 0.500 0.000
W 0.000 0.000 0.000
B 0.500 0.000 0.000
```

Values from the calculation:
Symmetry ... Pm-3m, No. 221
Total magnetization ... 0.00 μB per formula unit
Density ... 10.036 Mg/m³
DOS(E_F) ... 0.892 states/eV/atom



Relative stability in meV/atom, measured from the most stable structure: (A) 2214; (B) 0; (C) 1626